1.
Material: K2Na2H4Rh
Method: DFT, GGA-PBE
State: optimized geometry

Results
**Magnetization**: 0.0 μB/f.u.

Cell lengths 5.9809, 5.9809, 5.9809 Å; angles 95.37, 116.95, 116.95 degrees
Atoms (fractional coordinates):
K1 0.5000 0.7500 0.2500
K2 0.5000 0.2500 0.7500
Na1 0.0000 0.3311 0.3311
Na2 0.0000 0.6689 0.6689
H1 0.0000 0.8048 0.1952
H2 0.0000 0.1952 0.8048
H3 0.3904 0.1952 0.1952
H4 0.6096 0.8048 0.8048
Rh1 0.0000 0.0000 0.0000

2.
Material: KNa2H6Rh
Method: DFT, GGA-PBE
State: optimized geometry

Results
**Magnetization**: 0.2 μB/f.u.

Cell lengths 6.5639, 5.2597, 5.2597 Å; angles 120.00, 90.00, 90.00 degrees
Last column: magnetic moment on the atom in μB.
Atoms (fractional coordinates):
H1 0.8467 0.1474 0.8526  0.00
H2 0.1533 0.8526 0.1474  0.00
H3 0.1533 0.8526 0.7052  0.00
H4 0.8467 0.7052 0.8526  0.00
H5 0.1533 0.2948 0.1474  0.00
H6 0.8467 0.1474 0.2948  0.00
Na1 0.0787 0.3333 0.6667  0.00
Na2 0.9213 0.6667 0.3333  0.00
Rh1 0.0000 0.0000 0.0000  0.15
K1 0.5000 0.0000 0.0000  0.00

3.
Material: K2NaH6Rh
Method: DFT, GGA-PBE
State: optimized geometry

Results
**Magnetization**: 0.2 μB/f.u.

Cell lengths 5.6122, 5.7868, 5.7868 Å; angles 120.00, 90.00, 90.00 degrees
Last column: magnetic moment on the atom in μB.
Atoms (fractional coordinates):
H1 0.1722 0.8621 0.1379  0.00
H2 0.8278 0.1379 0.8621  0.00
H3 0.1722 0.8621 0.7242  0.00
H4 0.1722 0.2758 0.1379  0.00
H5 0.8278 0.7242 0.8621  0.00
H6 0.8278 0.1379 0.2758  0.00
K1 0.1623 0.3333 0.6667  0.00
K2 0.8377 0.6667 0.3333  0.00
Na1 0.5000 0.0000 0.0000  0.00
Rh1 0.0000 0.0000 0.0000  0.15

4.
Material: K2NaH6Ru
Method: DFT, GGA-PBE
State: optimized geometry

Results
**Magnetization**: 1.0 μB/f.u.

Cell lengths 5.7294, 5.7294, 5.7294 Å; angles 60.00, 60.00, 60.00 degrees
Last column: magnetic moment on the atom in μB.
Atoms (fractional coordinates):
H1 0.7859 0.2141 0.7859  -0.01
H2 0.2141 0.7859 0.2141  -0.01
H3 0.2141 0.2141 0.7859  -0.01
H4 0.7859 0.7859 0.2141  -0.01
H5 0.7859 0.2141 0.2141  -0.01
H6 0.2141 0.7859 0.7859  -0.01
K1 0.7500 0.7500 0.7500  0.00
K2 0.2500 0.2500 0.2500  0.00
Ru1 0.0000 0.0000 0.0000  0.94
Na1 0.5000 0.5000 0.5000  0.00

5.
Material: K2NaHS
Method: DFT, GGA-PBE
State: optimized geometry

Results
**Magnetization**: 0.0 μB/f.u.

Cell lengths 5.0548, 5.0548, 4.6073 Å; angles 90.00, 90.00, 90.00 degrees
Atoms (fractional coordinates):
K1 0.0000 0.5000 0.0000
K2 0.5000 0.0000 0.0000
H1 0.0000 0.0000 0.0000
Na1 0.0000 0.0000 0.5000
S1 0.5000 0.5000 0.5000

6.
Material: KNa2HS
Method: DFT, GGA-PBE
State: optimized geometry

Results
**Magnetization**: 0.0 μB/f.u.

Cell lengths 4.5851, 4.5851, 4.9035 Å; angles 90.00, 90.00, 90.00 degrees
Atoms (fractional coordinates):
Na1 0.0000 0.5000 0.0000
Na2 0.5000 0.0000 0.0000
H1 0.0000 0.0000 0.0000
K1 0.0000 0.0000 0.5000
S1 0.5000 0.5000 0.5000

7.
Material: K2NaHSe
Method: DFT, GGA-PBE
State: optimized geometry

Results
**Magnetization**: 0.0 μB/f.u.

Cell lengths 5.1431, 5.1431, 4.7411 Å; angles 90.00, 90.00, 90.00 degrees
Atoms (fractional coordinates):
K1 0.0000 0.5000 0.0000
K2 0.5000 0.0000 0.0000
Se1 0.5000 0.5000 0.5000
H1 0.0000 0.0000 0.0000
Na1 0.0000 0.0000 0.5000

8.
Material: KNa2HSe
Method: DFT, GGA-PBE
State: optimized geometry

Results
**Magnetization**: 0.0 μB/f.u.

Cell lengths 4.7105, 4.7105, 4.9839 Å; angles 90.00, 90.00, 90.00 degrees
Atoms (fractional coordinates):
K1 0.0000 0.0000 0.5000
H1 0.0000 0.0000 0.0000
Na1 0.5000 0.0000 0.0000
Na2 0.0000 0.5000 0.0000
Se1 0.5000 0.5000 0.5000

9.
Material: K2NaSiH6
Method: DFT, GGA-PBE
State: optimized geometry

Results
**Magnetization**: 0.0 μB/f.u.

Cell lengths 5.7952, 5.7949, 8.2879 Å; angles 90.00, 90.00, 90.00 degrees
Atoms (fractional coordinates):
H1 0.2961 0.4534 0.5000
H2 0.5000 0.2495 0.2979
H3 0.7039 0.4534 0.5000
H4 0.5000 0.2495 0.7021
H5 0.7039 0.0456 0.5000
H6 0.2961 0.0456 0.5000
H7 0.2039 0.9544 0.0000
H8 0.2039 0.5466 0.0000
H9 0.7961 0.9544 0.0000
H10 0.0000 0.7505 0.2021
H11 0.7961 0.5466 0.0000
H12 0.0000 0.7505 0.7979
K1 0.5000 0.7503 0.2500
K2 0.0000 0.2497 0.2500
K3 0.0000 0.2497 0.7500
K4 0.5000 0.7503 0.7500
Si1 0.5000 0.2495 0.5000
Si2 0.0000 0.7505 0.0000
Na1 0.0000 0.7495 0.5000
Na2 0.5000 0.2505 0.0000

10.
Material: KNa2SnH
Method: DFT, GGA-PBE
State: optimized geometry

Results
**Magnetization**: 0.0 μB/f.u.

Cell lengths 4.9962, 4.9962, 5.2883 Å; angles 90.00, 90.00, 90.00 degrees
Atoms (fractional coordinates):
K1 0.0000 0.0000 0.5000
Na1 0.0000 0.5000 0.0000
Na2 0.5000 0.0000 0.0000
Sn1 0.5000 0.5000 0.5000
H1 0.0000 0.0000 0.0000

11.
Material: KNaSr2H
Method: DFT, GGA-PBE
State: optimized geometry

Results
**Magnetization**: 0.0 μB/f.u.

Cell lengths 5.5633, 5.5633, 6.2062 Å; angles 90.00, 90.00, 90.00 degrees
Atoms (fractional coordinates):
K1 0.0000 0.0000 0.5000
H1 0.0000 0.0000 0.0000
Na1 0.5000 0.5000 0.5000
Sr1 0.0000 0.5000 0.0000
Sr2 0.5000 0.0000 0.0000

12.
Material: KNaSr2H
Method: DFT, GGA-PBE
State: optimized geometry

Results
**Magnetization**: 0.0 μB/f.u.

Cell lengths 5.4855, 5.4855, 6.5808 Å; angles 90.00, 90.00, 90.00 degrees
Atoms (fractional coordinates):
H1 0.0000 0.0000 0.0000
Sr1 0.5000 0.0000 0.0000
Sr2 0.0000 0.5000 0.0000
Na1 0.0000 0.0000 0.5000
K1 0.5000 0.5000 0.5000

Number 1: energy -2.90 eV per atom. Number 2: energy -3.44 eV per atom. Number 3: energy -3.45 eV per atom. Number 4: energy -3.45 eV per atom. Number 5: energy -2.80 eV per atom. Number 6: energy -2.84 eV per atom. Number 7: energy -2.73 eV per atom. Number 8: energy -2.76 eV per atom. Number 9: energy -3.02 eV per atom. Number 10: energy -2.24 eV per atom. Number 11: energy -1.86 eV per atom. Number 12: energy -1.82 eV per atom.